Entry 1:
Computed, not measured: a crystal of Sc2PtF relaxed with PBEsol at the meta-GGA SCAN level of DFT.

Calculated values
Energy above the lowest structure with this stoichiometry (meV/atom): 0.0
Crystal system: trigonal
Calculated density (Mg/m³): 5.61

The structure in POSCAR format:
```
Sc2PtF
1.0
3.965 0.000 0.000
1.983 3.434 0.000
1.983 1.145 6.608
Pt Sc F
1 2 1
Direct
0.500 0.500 0.500
0.898 0.898 0.305
0.102 0.102 0.695
0.000 0.000 0.000
```

Entry 2:
Computed, not measured: a crystal of Sc2PtF relaxed with PBEsol at the meta-GGA SCAN level of DFT.

Calculated values
Energy above the lowest structure with this stoichiometry (meV/atom): 498.7
Crystal system: cubic
Calculated density (Mg/m³): 7.64

The structure in POSCAR format:
```
Sc2PtF
1.0
4.538 0.000 0.000
2.269 3.930 0.000
2.269 1.310 3.705
F Pt Sc
1 1 2
Direct
0.000 0.000 0.000
0.500 0.500 0.500
0.250 0.250 0.250
0.750 0.750 0.750
```

Entry 3:
Computed, not measured: a crystal of PtSeF2 relaxed with PBEsol at the meta-GGA SCAN level of DFT.

Calculated values
Crystal system: tetragonal
Final energy (eV/cell): -196.81
Calculated density (Mg/m³): 6.19

The structure in POSCAR format:
```
PtSeF2
1.0
-0.601 -4.622 -0.150
4.653 -3.062 3.208
-3.578 -2.047 4.931
Pt F Se
2 4 2
Direct
0.750 0.500 0.500
0.000 0.000 0.000
0.375 0.750 0.750
0.875 0.750 0.250
0.875 0.250 0.750
0.875 0.250 0.250
0.250 0.500 0.500
0.500 0.000 0.000
```

Entry 4:
Computed, not measured: a crystal of SiPtF2 relaxed with PBEsol at the meta-GGA SCAN level of DFT.

Calculated values
Energy above the lowest structure with this stoichiometry (meV/atom): 0.0
Crystal system: trigonal
Calculated density (Mg/m³): 7.31

The structure in POSCAR format:
```
SiPtF2
1.0
-0.747 0.128 -2.508
-1.770 -1.695 -0.928
-8.168 5.760 1.359
F Pt Si
2 1 1
Direct
0.946 0.946 0.163
0.054 0.054 0.837
0.500 0.500 0.500
0.000 0.000 0.000
```

Entry 5:
Computed, not measured: a crystal of SiPtF2 relaxed with PBEsol at the meta-GGA SCAN level of DFT.

Calculated values
Energy above the lowest structure with this stoichiometry (meV/atom): 1165.8
Crystal system: cubic
Calculated density (Mg/m³): 8.72

The structure in POSCAR format:
```
SiPtF2
1.0
4.128 0.000 0.000
2.064 3.575 0.000
2.064 1.192 3.370
Si F Pt
1 2 1
Direct
0.000 0.000 0.000
0.250 0.250 0.250
0.750 0.750 0.750
0.500 0.500 0.500
```

Entry 6:
Computed, not measured: a crystal of Sr2PtF2 relaxed with PBEsol at the meta-GGA SCAN level of DFT.

Calculated values
Crystal system: tetragonal
Final energy (eV/cell): -134.04
Calculated density (Mg/m³): 6.76

The structure in POSCAR format:
```
Sr2PtF2
1.0
-3.990 1.130 -2.419
0.501 -3.956 -2.675
-0.633 -0.832 5.421
F Pt Sr
2 1 2
Direct
0.666 0.666 0.333
0.334 0.334 0.667
0.000 0.000 0.000
0.750 0.250 0.500
0.250 0.750 0.500
```

Entry 7:
Computed, not measured: a crystal of SrPt2F relaxed with PBEsol at the meta-GGA SCAN level of DFT.

Calculated values
Crystal system: cubic
Final energy (eV/cell): -166.35
Calculated density (Mg/m³): 11.48

The structure in POSCAR format:
```
SrPt2F
1.0
4.667 0.000 0.000
2.333 4.042 0.000
2.333 1.347 3.810
Pt F Sr
2 1 1
Direct
0.250 0.250 0.250
0.750 0.750 0.750
0.000 0.000 0.000
0.500 0.500 0.500
```

Entry 8:
Computed, not measured: a crystal of TaPtF2 relaxed with PBEsol at the meta-GGA SCAN level of DFT.

Calculated values
Crystal system: cubic
Final energy (eV/cell): -145.55
Calculated density (Mg/m³): 13.80

The structure in POSCAR format:
```
TaPtF2
1.0
4.130 0.000 0.000
2.065 3.577 0.000
2.065 1.192 3.372
F Pt Ta
2 1 1
Direct
0.750 0.750 0.750
0.250 0.250 0.250
0.500 0.500 0.500
0.000 0.000 0.000
```

Entry 9:
Computed, not measured: a crystal of TiPt3F relaxed with PBEsol at the meta-GGA SCAN level of DFT.

Calculated values
Crystal system: cubic
Final energy (eV/cell): -226.54
Calculated density (Mg/m³): 11.09

The structure in POSCAR format:
```
TiPt3F
1.0
-1.378 3.872 -2.077
-4.366 -1.455 0.185
-0.501 2.024 4.106
Ti Pt F
1 3 1
Direct
0.000 0.000 0.000
0.000 0.500 0.000
0.000 0.000 0.500
0.500 0.000 0.000
0.500 0.500 0.500
```

Entry 10:
Computed, not measured: a crystal of TlPt2F relaxed with PBEsol at the meta-GGA SCAN level of DFT.

Calculated values
Crystal system: cubic
Final energy (eV/cell): -216.23
Calculated density (Mg/m³): 16.35

The structure in POSCAR format:
```
TlPt2F
1.0
4.450 0.000 0.000
2.225 3.854 0.000
2.225 1.285 3.633
F Pt Tl
1 2 1
Direct
0.000 0.000 0.000
0.250 0.250 0.250
0.750 0.750 0.750
0.500 0.500 0.500
```

Entry 11:
Computed, not measured: a crystal of YPtF7 relaxed with PBEsol at the meta-GGA SCAN level of DFT.

Calculated values
Crystal system: monoclinic
Final energy (eV/cell): -592.43
Calculated density (Mg/m³): 5.57

The structure in POSCAR format:
```
YPtF7
1.0
-1.752 4.633 2.221
-0.550 -3.946 7.800
10.085 4.208 -0.824
F Pt Y
28 4 4
Direct
0.773 0.380 0.859
0.227 0.620 0.141
0.592 0.801 0.768
0.444 0.422 0.676
0.563 0.181 0.458
0.408 0.199 0.232
0.065 0.117 0.414
0.056 0.922 0.176
0.908 0.301 0.268
0.092 0.699 0.732
0.041 0.641 0.366
0.754 0.073 0.050
0.727 0.880 0.359
0.959 0.359 0.634
0.565 0.383 0.086
0.944 0.078 0.824
0.459 0.141 0.866
0.273 0.120 0.641
0.541 0.859 0.134
0.937 0.681 0.958
0.746 0.573 0.550
0.435 0.617 0.914
0.556 0.578 0.324
0.254 0.427 0.450
0.935 0.883 0.586
0.063 0.319 0.042
0.246 0.927 0.950
0.437 0.819 0.542
0.757 0.229 0.957
0.257 0.271 0.543
0.743 0.729 0.457
0.243 0.771 0.043
0.761 0.578 0.764
0.239 0.422 0.236
0.739 0.078 0.264
0.261 0.922 0.736
```

Entry 12:
Computed, not measured: a crystal of ZnPtF2 relaxed with PBEsol at the meta-GGA SCAN level of DFT.

Calculated values
Crystal system: trigonal
Final energy (eV/cell): -95.08
Calculated density (Mg/m³): 10.08

The structure in POSCAR format:
```
ZnPtF2
1.0
-2.038 0.354 1.811
0.544 0.022 2.695
0.551 7.558 1.230
Pt Zn F
1 1 2
Direct
0.000 0.000 0.000
0.500 0.500 0.500
0.911 0.911 0.267
0.089 0.089 0.733
```